DFT (GGA-PBE) results for a geometry-optimized InAs2PdAu structure.

energy relative to the elements = 335 meV/atom
density of states at the Fermi level = 0.87 states/eV/atom
total DFT energy (no corrections) = -3.767 eV per atom

```
data_InAs2PdAu
_chemical_formula_sum 'In1 As2 Pd1 Au1'
_cell_length_a 4.8171
_cell_length_b 4.8171
_cell_length_c 5.2458
_cell_angle_alpha 90.00
_cell_angle_beta 90.00
_cell_angle_gamma 90.00
_symmetry_space_group_name_H-M 'P 4/m m m'
_symmetry_Int_Tables_number 123
_symmetry_space_group_name_Hall '-P 4 2'
loop_
_atom_site_label
_atom_site_fract_x
_atom_site_fract_y
_atom_site_fract_z
In1 0.0000 0.0000 0.0000
As1 0.0000 0.5000 0.5000
Pd1 0.5000 0.5000 0.5000
Au1 0.5000 0.5000 0.0000
```



DFT (GGA-PBE) results for a geometry-optimized InAsAu2Se4 structure.

total DFT energy (no corrections) = -3.644 eV per atom
energy relative to the elements, uncorrected = -159 meV/atom

```
data_InAsAu2Se4
_chemical_formula_sum 'In1 As1 Au2 Se4'
_cell_length_a 5.7757
_cell_length_b 6.7114
_cell_length_c 7.0285
_cell_angle_alpha 70.71
_cell_angle_beta 87.81
_cell_angle_gamma 66.89
_symmetry_space_group_name_H-M 'P 1'
_symmetry_Int_Tables_number 1
_symmetry_space_group_name_Hall 'P 1'
loop_
_atom_site_label
_atom_site_fract_x
_atom_site_fract_y
_atom_site_fract_z
In1 0.0000 0.0000 0.0000
As1 0.2461 0.4773 0.7404
Au1 0.7281 0.0227 0.4776
Au2 0.7664 0.5438 0.0078
Se1 0.2143 0.2530 0.0976
Se2 0.3592 0.7783 0.7927
Se3 0.6880 0.2899 0.6564
Se4 0.8727 0.7419 0.3018
```



DFT (GGA-PBE) results for a geometry-optimized InAs2AuSe structure.

ΔE to the lowest computed polymorph = 0.000 eV per atom
density of states at the Fermi level = 1.02 states/eV/atom
total DFT energy (no corrections) = -3.173 eV per atom
energy relative to the elements, uncorrected = 587 meV/atom

```
data_InAs2AuSe
_chemical_formula_sum 'In1 As2 Au1 Se1'
_cell_length_a 5.1207
_cell_length_b 5.1207
_cell_length_c 5.3336
_cell_angle_alpha 90.00
_cell_angle_beta 90.00
_cell_angle_gamma 90.00
_symmetry_space_group_name_H-M 'P 4/m m m'
_symmetry_Int_Tables_number 123
_symmetry_space_group_name_Hall '-P 4 2'
loop_
_atom_site_label
_atom_site_fract_x
_atom_site_fract_y
_atom_site_fract_z
In1 0.0000 0.0000 0.0000
As1 0.0000 0.5000 0.5000
Au1 0.5000 0.5000 0.5000
Se1 0.5000 0.5000 0.0000
```



DFT (GGA-PBE) results for a geometry-optimized InAsAuSe2 structure.

ΔE to the lowest computed polymorph = 0.000 eV per atom
density of states at the Fermi level = 1.05 states/eV/atom
total DFT energy (no corrections) = -3.081 eV per atom
energy relative to the elements, uncorrected = 446 meV/atom

```
data_InAsAuSe2
_chemical_formula_sum 'In1 As1 Au1 Se2'
_cell_length_a 5.3563
_cell_length_b 5.3563
_cell_length_c 4.8692
_cell_angle_alpha 90.00
_cell_angle_beta 90.00
_cell_angle_gamma 90.00
_symmetry_space_group_name_H-M 'P 4/m m m'
_symmetry_Int_Tables_number 123
_symmetry_space_group_name_Hall '-P 4 2'
loop_
_atom_site_label
_atom_site_fract_x
_atom_site_fract_y
_atom_site_fract_z
In1 0.0000 0.0000 0.0000
As1 0.5000 0.5000 0.0000
Au1 0.5000 0.5000 0.5000
Se1 0.0000 0.5000 0.5000
```



DFT (GGA-PBE) results for a geometry-optimized InSn2AsAu structure.

energy relative to the elements = 722 meV/atom
density of states at the Fermi level = 0.57 states/eV/atom
total DFT energy (no corrections) = -3.012 eV per atom

```
data_InSn2AsAu
_chemical_formula_sum 'In1 Sn2 As1 Au1'
_cell_length_a 5.6186
_cell_length_b 5.6186
_cell_length_c 5.0515
_cell_angle_alpha 90.00
_cell_angle_beta 90.00
_cell_angle_gamma 90.00
_symmetry_space_group_name_H-M 'P 4/m m m'
_symmetry_Int_Tables_number 123
_symmetry_space_group_name_Hall '-P 4 2'
loop_
_atom_site_label
_atom_site_fract_x
_atom_site_fract_y
_atom_site_fract_z
In1 0.0000 0.0000 0.0000
Sn1 0.0000 0.5000 0.0000
As1 0.5000 0.5000 0.5000
Au1 0.0000 0.0000 0.5000
```



DFT (GGA-PBE) results for a geometry-optimized VInAs2Au structure.

energy relative to the elements = 1471 meV/atom
density of states at the Fermi level = 1.55 states/eV/atom
total DFT energy (no corrections) = -3.416 eV per atom

```
data_VInAs2Au
_chemical_formula_sum 'V1 In1 As2 Au1'
_cell_length_a 5.3034
_cell_length_b 5.3034
_cell_length_c 5.2454
_cell_angle_alpha 90.00
_cell_angle_beta 90.00
_cell_angle_gamma 90.00
_symmetry_space_group_name_H-M 'P 4/m m m'
_symmetry_Int_Tables_number 123
_symmetry_space_group_name_Hall '-P 4 2'
loop_
_atom_site_label
_atom_site_fract_x
_atom_site_fract_y
_atom_site_fract_z
V1 0.0000 0.0000 0.0000
In1 0.0000 0.0000 0.5000
As1 0.0000 0.5000 0.5000
Au1 0.5000 0.5000 0.0000
```



DFT (GGA-PBE) results for a geometry-optimized As4IrAu structure.

energy relative to the elements = 839 meV/atom
density of states at the Fermi level = 1.06 states/eV/atom
total DFT energy (no corrections) = -4.284 eV per atom

```
data_As4IrAu
_chemical_formula_sum 'As16 Ir4 Au4'
_cell_length_a 7.6697
_cell_length_b 7.6697
_cell_length_c 7.6697
_cell_angle_alpha 90.00
_cell_angle_beta 90.00
_cell_angle_gamma 90.00
_symmetry_space_group_name_H-M 'F -4 3 m'
_symmetry_Int_Tables_number 216
_symmetry_space_group_name_Hall 'F -4 2 3'
loop_
_atom_site_label
_atom_site_fract_x
_atom_site_fract_y
_atom_site_fract_z
As1 0.1239 0.1239 0.1239
Ir1 0.0000 0.0000 0.5000
Au1 0.2500 0.2500 0.7500
```



DFT (GGA-PBE) results for a geometry-optimized As3IrAu structure.

energy relative to the elements = 1433 meV/atom
density of states at the Fermi level = 1.16 states/eV/atom
total DFT energy (no corrections) = -3.785 eV per atom

```
data_As3IrAu
_chemical_formula_sum 'As3 Ir1 Au1'
_cell_length_a 4.8983
_cell_length_b 4.8983
_cell_length_c 4.8983
_cell_angle_alpha 90.00
_cell_angle_beta 90.00
_cell_angle_gamma 90.00
_symmetry_space_group_name_H-M 'P m -3 m'
_symmetry_Int_Tables_number 221
_symmetry_space_group_name_Hall '-P 4 2 3'
loop_
_atom_site_label
_atom_site_fract_x
_atom_site_fract_y
_atom_site_fract_z
As1 0.0000 0.0000 0.5000
Ir1 0.5000 0.5000 0.5000
Au1 0.0000 0.0000 0.0000
```